# CuBi2MoO6

A relaxed structure of CuBi2MoO6 (PBE+U, Alexandria).

## Properties
spin magnetization	0.98	μB/f.u.
energy	-6.08	eV per atom
symmetry	P2_1/c (14)

Cell: 5.682 5.232 9.879 Å, 90.00 90.32 90.00°
Element x y z (fractional)
O (0.819, 0.278, 0.382)
O (0.881, 0.308, 0.668)
O (0.381, 0.192, 0.168)
O (0.194, 0.790, 0.029)
O (0.681, 0.778, 0.118)
O (0.181, 0.722, 0.618)
O (0.619, 0.808, 0.832)
Cu (0.500, 0.000, 0.500)
Bi (0.992, 0.990, 0.799)
O (0.806, 0.210, 0.971)
Mo (0.500, 0.000, 0.000)
O (0.306, 0.290, 0.471)
O (0.694, 0.710, 0.529)
Bi (0.492, 0.510, 0.299)
Cu (0.000, 0.500, 0.000)
O (0.319, 0.222, 0.882)
O (0.119, 0.692, 0.332)
Bi (0.508, 0.490, 0.701)
Mo (0.000, 0.500, 0.500)
Bi (0.008, 0.010, 0.201)